Entry 1:
# CaAl2Cu4 GGA-PBE relaxed
data_CaAl2Cu4
_cell_length_a 6.4237
_cell_length_b 6.4237
_cell_length_c 5.2028
_cell_angle_alpha 90.00
_cell_angle_beta 90.00
_cell_angle_gamma 90.00
_symmetry_space_group_name_H-M 'I 4/m m m'
_symmetry_Int_Tables_number 139
_symmetry_space_group_name_Hall '-I 4 2'
loop_
_atom_site_label
_atom_site_fract_x
_atom_site_fract_y
_atom_site_fract_z
_atom_site_occupancy
Ca1 0.0000 0.0000 0.0000 1
Al1 0.0000 0.5000 0.2500 1
Cu1 0.1911 0.1911 0.5000 1
# Calculated volume   15.335 Å³/atom
# VASP energy   -3.94 eV per atom
# Magnetization   0.0 μB per formula unit
# Energy of formation from the pure elements   -0.239 eV per atom

Entry 2:
# LiAgBr2 GGA-PBE relaxed
data_LiAgBr2
_cell_length_a 3.8863
_cell_length_b 7.5986
_cell_length_c 7.5600
_cell_angle_alpha 90.00
_cell_angle_beta 90.00
_cell_angle_gamma 90.00
_symmetry_space_group_name_H-M 'C m m m'
_symmetry_Int_Tables_number 65
_symmetry_space_group_name_Hall '-C 2 2'
loop_
_atom_site_label
_atom_site_fract_x
_atom_site_fract_y
_atom_site_fract_z
_atom_site_occupancy
Li1 0.0000 0.0000 0.0000 1
Ag1 0.0000 0.0000 0.5000 1
Br1 0.0000 0.5000 0.2380 1
# Calculated volume   27.907 Å³/atom
# VASP energy   -2.83 eV per atom
# Magnetization   0.0 μB per formula unit
# Formation energy from raw total energies   -0.80 eV/atom

Q: What is the VASP energy in the first record?
A: -3.94 eV per atom